(1)
PBE Hf3InAs, relaxed; symmetry = No. 221; ΔH_f (0 K) = 46 kJ/mol of formula units; E above lowest polymorph = 0.325 eV/atom; total energy = -7.354 eV per atom
1.0
4.9446 0.0000 0.0000
0.0000 4.9446 0.0000
0.0000 0.0000 4.9446
Hf In As
3 1 1
Direct
0.0000 0.0000 0.5000
0.0000 0.5000 0.0000
0.5000 0.0000 0.0000
0.5000 0.5000 0.5000
0.0000 0.0000 0.0000

---

(2)
PBE Li4Mg3Cu, relaxed; symmetry = No. 10; ΔH_f (0 K) = -15 kJ/mol of formula units; E above lowest polymorph = 0.028 eV/atom; total energy = -2.086 eV per atom
1.0
4.6885 0.0000 0.0000
0.0000 3.0629 0.0000
-2.2380 0.0000 10.4032
Li Mg Cu
4 3 1
Direct
0.0952 0.0000 0.1885
0.2207 0.0000 0.4413
0.7793 0.0000 0.5587
0.9048 0.0000 0.8115
0.3553 0.5000 0.7104
0.5000 0.0000 0.0000
0.6447 0.5000 0.2896
0.0000 0.5000 0.0000

---

(3)
PBE LiMgI2O6, relaxed; symmetry = No. 15; total energy = -4.487 eV per atom; energy relative to the elements, uncorrected = -0.851 eV per atom
1.0
6.1885 -4.3370 0.0000
6.1885 4.3370 0.0000
-1.7907 0.0000 5.3060
Li Mg I O
2 2 4 12
Direct
0.2440 0.7560 0.7500
0.7560 0.2440 0.2500
0.0987 0.9013 0.2500
0.9013 0.0987 0.7500
0.1107 0.4148 0.2673
0.4148 0.1107 0.7673
0.5852 0.8893 0.2327
0.8893 0.5852 0.7327
0.0123 0.1824 0.1418
0.1824 0.0123 0.6418
0.1900 0.6419 0.3827
0.2688 0.3434 0.9331
0.3434 0.2688 0.4331
0.3581 0.8100 0.1173
0.6419 0.1900 0.8827
0.6566 0.7312 0.5669
0.7312 0.6566 0.0669
0.8100 0.3581 0.6173
0.8176 0.9877 0.3582
0.9877 0.8176 0.8582

---

(4)
PBE Dy2Zn3Ge2, relaxed; symmetry = No. 65; ΔH_f (0 K) = -233 kJ/mol of formula units; total energy = -3.525 eV per atom
1.0
1.9033 -9.5624 0.0000
1.9033 9.5624 0.0000
0.0000 0.0000 4.0660
Dy Zn Ge
2 3 2
Direct
0.1635 0.8365 0.0000
0.8365 0.1635 0.0000
0.0000 0.0000 0.0000
0.4348 0.5652 0.5000
0.5652 0.4348 0.5000
0.2948 0.7052 0.5000
0.7052 0.2948 0.5000